# 1
! BeTlZnSe2, relaxed, DFT GGA-PBE; values from VASP
! formation energy without anion corrections: 1.041 eV/atom
! space-group type: P4/mmm (123)
&SYSTEM
  ibrav = 0, nat = 5, ntyp = 4
/
ATOMIC_SPECIES
Se 78.96 Se.upf
Be 9.01 Be.upf
Zn 65.41 Zn.upf
Tl 204.38 Tl.upf
ATOMIC_POSITIONS crystal
Se 0.500 0.000 0.000
Se 0.000 0.000 0.500
Be 0.500 0.500 0.500
Zn 0.000 0.500 0.000
Tl 0.000 0.000 0.000
CELL_PARAMETERS angstrom
-3.980 -1.883 3.251
3.513 -2.194 3.030
0.278 4.576 2.991

=====

# 2
! BeTlZn2Se, relaxed, DFT GGA-PBE; values from VASP
! formation energy without anion corrections: 1.024 eV/atom
! space-group type: P4/mmm (123)
&SYSTEM
  ibrav = 0, nat = 5, ntyp = 4
/
ATOMIC_SPECIES
Be 9.01 Be.upf
Tl 204.38 Tl.upf
Zn 65.41 Zn.upf
Se 78.96 Se.upf
ATOMIC_POSITIONS crystal
Be 0.500 0.500 0.500
Tl 0.000 0.000 0.000
Zn 0.000 0.000 0.500
Zn 0.500 0.000 0.000
Se 0.000 0.500 0.000
CELL_PARAMETERS angstrom
-0.465 5.124 0.064
-3.966 -0.411 4.026
3.645 0.286 3.621

=====

# 3
! Tm6BeSe5, relaxed, DFT GGA-PBE; values from VASP
! formation energy without anion corrections: -1.451 eV/atom
! space-group type: C2/m (12)
&SYSTEM
  ibrav = 0, nat = 12, ntyp = 3
/
ATOMIC_SPECIES
Tm 168.93 Tm.upf
Se 78.96 Se.upf
Be 9.01 Be.upf
ATOMIC_POSITIONS crystal
Tm 0.767 0.077 0.310
Tm 0.238 0.229 0.000
Tm 0.762 0.771 0.000
Tm 0.767 0.387 0.690
Tm 0.233 0.613 0.310
Tm 0.233 0.923 0.690
Se 0.500 0.500 0.000
Se 0.000 0.335 0.330
Se 0.000 0.665 0.670
Se 0.500 0.176 0.648
Se 0.500 0.824 0.352
Be 0.000 0.000 0.000
CELL_PARAMETERS angstrom
6.871 0.172 1.046
1.692 5.861 3.416
0.116 0.074 6.970

=====

Q: formation energy without anion corrections of number 2 (BeTlZn2Se)?
A: 1.024 eV/atom

=====

Q: Which formula does entry 1 have?
A: BeTlZnSe2